Record 1
Density functional theory data (PBE) for crystalline Nd4Tl2Ru at its relaxed geometry.

a b c (Å): 6.710 3.786 9.382
angles (deg): 90.00 110.72 90.00
Atoms (fractional coordinates):
Nd1 0.129 0.000 0.255
Nd2 0.318 0.500 0.651
Nd3 0.682 0.500 0.349
Nd4 0.871 0.000 0.745
Tl1 0.264 0.500 0.998
Tl2 0.736 0.500 0.002
Ru1 0.000 0.000 0.500

Output
Polymorph energy (0 for the lowest one): 116 meV per atom
Space group: P2/m
M_tot: 0.0000 μB/atom
Energy relative to the elements: -0.176 eV/atom

***

Record 2
Density functional theory data (PBE) for crystalline Rb2Tl5Au4 at its relaxed geometry.

a b c (Å): 7.486 7.486 9.890
angles (deg): 126.37 126.37 54.37
Atoms (fractional coordinates):
Rb1 0.014 0.014 0.308
Rb2 0.986 0.986 0.692
Tl1 0.080 0.578 0.849
Tl2 0.422 0.920 0.151
Tl3 0.500 0.500 0.500
Tl4 0.578 0.080 0.849
Tl5 0.920 0.422 0.151
Au1 0.340 0.340 0.107
Au2 0.363 0.363 0.637
Au3 0.637 0.637 0.363
Au4 0.660 0.660 0.893

Output
Polymorph energy (0 for the lowest one): 24 meV per atom
Space group: C2/m
M_tot: 0.0000 μB/atom
Energy relative to the elements: -0.086 eV/atom

***

Record 3
Density functional theory data (PBE) for crystalline GaSbSeN2 at its relaxed geometry.

a b c (Å): 3.965 3.965 5.268
angles (deg): 90.00 90.00 90.00
Atoms (fractional coordinates):
Ga1 0.000 0.000 0.000
Sb1 0.500 0.500 0.500
Se1 0.000 0.000 0.500
N1 0.000 0.500 0.000
N2 0.500 0.000 0.000

Output
Polymorph energy (0 for the lowest one): 96 meV per atom
Space group: P4/mmm
M_tot: 0.0001 μB/atom
Uncorrected formation energy: 1.1448 eV per atom

***

Record 4
Density functional theory data (PBE) for crystalline AcLa3Sm2As6 at its relaxed geometry.

a b c (Å): 7.546 7.546 7.539
angles (deg): 99.61 99.61 119.99
Atoms (fractional coordinates):
Ac1 0.000 0.000 0.000
La1 0.165 0.835 0.500
La2 0.500 0.500 0.500
La3 0.835 0.165 0.500
Sm1 0.333 0.667 0.000
Sm2 0.667 0.333 0.000
As1 0.083 0.426 0.248
As2 0.261 0.261 0.752
As3 0.426 0.083 0.248
As4 0.574 0.917 0.752
As5 0.739 0.739 0.248
As6 0.917 0.574 0.752

Output
Space group: C2/m
M_tot: 0.0000 μB/atom
Energy relative to the elements: -1.528 eV/atom

***

Calculated uncorrected energy in order - -0.1801; -0.0929; -0.1585; -0.2283 Ha/atom
Calculated Fermi-level density of states in order - 0.964; 0.408; 0.976; 0.067 states/eV per atom